(1)
Below is NaYN2 after structural relaxation, with properties calculated at the PBE level.

Cell lengths 6.6612, 6.6612, 6.6612 Å; angles 35.19, 35.19, 35.19 degrees
Site moments in Bohr magnetons follow the coordinates.
Fractional positions:
Y: 0.0000 0.0000 0.0000  -0.03
Na: 0.5000 0.5000 0.5000  0.00
N: 0.8962 0.8962 0.8962  0.14
N: 0.1038 0.1038 0.1038  0.14

Values from the calculation:
The calculation puts the volume at 88 Å³ per cell. The energy above the most stable polymorph in this dataset comes out at 101.0 kJ/mol of atoms. Its space group is No. 166.

***

(2)
Below is AcCeSi2 after structural relaxation, with properties calculated at the PBE level.

Cell lengths 4.7188, 4.7188, 6.4435 Å; angles 68.52, 68.52, 60.00 degrees
Fractional positions:
Ac: 0.0000 0.0000 0.0000
Si: 0.7695 0.7695 0.6916
Si: 0.2305 0.2305 0.3084
Ce: 0.5000 0.5000 0.5000

Values from the calculation:
The calculation puts the volume at 113 Å³ per cell. Its space group is No. 166.

***

(3)
Below is K2MgCdF6 after structural relaxation, with properties calculated at the PBE level.

Cell lengths 5.9880, 5.9772, 8.4763 Å; angles 90.00, 89.95, 90.00 degrees
Fractional positions:
K: 0.0015 0.9862 0.2504
K: 0.5015 0.5138 0.7504
K: 0.9985 0.0138 0.7496
K: 0.4985 0.4862 0.2496
Mg: 0.5000 0.0000 0.0000
Mg: 0.0000 0.5000 0.5000
Cd: 0.5000 0.0000 0.5000
Cd: 0.0000 0.5000 0.0000
F: 0.2897 0.7376 0.0214
F: 0.7897 0.7624 0.5214
F: 0.7103 0.2624 0.9786
F: 0.2103 0.2376 0.4786
F: 0.2618 0.7110 0.4790
F: 0.7618 0.7890 0.9790
F: 0.7382 0.2890 0.5210
F: 0.2382 0.2110 0.0210
F: 0.9586 0.5058 0.2637
F: 0.4586 0.9942 0.7637
F: 0.0414 0.4942 0.7363
F: 0.5414 0.0058 0.2363

Values from the calculation:
The calculation puts the volume at 303 Å³ per cell. Its space group is No. 14.

***

no.,raw formation energy (eV/atom)
1,1.0033
2,-0.3772
3,-2.8727